KRePb: relaxed, GGA-PBE.

Calculated values
polymorph energy (0 for the lowest one)	0.0000	eV per atom
formation energy	1.0573	eV per atom
crystal system	orthorhombic
M_tot	0.268	μB/cell

Lattice parameters (Å, degrees): 6.9171 6.9171 6.9171 153.98 142.13 46.53
With the nearest neighbours (Å) after each atom.
Positions (direct):
Pb  0.2628  0.2628  0.0000  4 Re 2.75
Re  0.7365  0.7365  0.0000  4 Pb 2.75
K  0.0007  0.0007  0.0000  2 K 3.11, 1 Pb 3.33, 1 Re 3.36

***

SnBi5Rh3: relaxed, GGA-PBE.

Calculated values
formation energy	-0.0741	eV per atom
crystal system	monoclinic
M_tot	0.000	μB/cell

Lattice parameters (Å, degrees): 7.4781 7.4781 10.1890 66.89 66.89 78.43
With the nearest neighbours (Å) after each atom.
Positions (direct):
Bi  0.4428  0.4428  0.3677  3 Rh 2.74-2.96
Bi  0.0383  0.5898  0.6144  3 Rh 2.71-2.82
Bi  0.3015  0.6985  0.0000  3 Rh 2.82-2.85
Bi  0.6985  0.3015  0.0000  3 Rh 2.82-2.85
Bi  0.9617  0.4102  0.3856  3 Rh 2.71-2.82
Bi  0.2443  0.2443  0.9881  3 Rh 2.64-2.77
Bi  0.5898  0.0383  0.6144  3 Rh 2.71-2.82
Bi  0.7557  0.7557  0.0119  3 Rh 2.64-2.77
Bi  0.5572  0.5572  0.6323  3 Rh 2.74-2.96
Bi  0.4102  0.9617  0.3856  3 Rh 2.71-2.82
Sn  0.0650  0.0650  0.7104  3 Rh 2.61-2.65
Sn  0.9350  0.9350  0.2896  3 Rh 2.61-2.65
Rh  0.6860  0.6860  0.7960  6 Bi 2.70-2.82
Rh  0.0000  0.0000  0.0000  2 Sn 2.65, 4 Bi 2.77-2.85
Rh  0.7056  0.7056  0.2952  1 Sn 2.63, 4 Bi 2.64-2.74
Rh  0.2944  0.2944  0.7048  1 Sn 2.63, 4 Bi 2.64-2.74
Rh  0.3140  0.3140  0.2040  6 Bi 2.70-2.82
Rh  0.0000  0.0000  0.5000  2 Sn 2.61, 4 Bi 2.82

***

DyPRh2: relaxed, GGA-PBE.

Calculated values
formation energy	-0.9815	eV per atom
crystal system	orthorhombic
M_tot	0.000	μB/cell

Lattice parameters (Å, degrees): 4.0739 8.0174 8.6226 90.00 90.00 104.72
With the nearest neighbours (Å) after each atom.
Positions (direct):
Dy  0.6937  0.3875  0.2500  9 Rh 2.84-3.01, 4 P 2.97
Dy  0.5000  0.0000  0.0000  4 P 3.00, 6 Rh 3.12-3.17
Dy  0.3063  0.6125  0.7500  9 Rh 2.84-3.01, 4 P 2.97
Dy  0.5000  0.0000  0.5000  4 P 3.00, 6 Rh 3.12-3.17
Rh  0.6995  0.3990  0.5789  3 P 2.37-2.51
Rh  0.9377  0.8754  0.7500  2 P 2.36
Rh  0.8872  0.7744  0.2500  2 P 2.35
Rh  0.0623  0.1246  0.2500  2 P 2.36
Rh  0.6995  0.3990  0.9211  3 P 2.37-2.51
Rh  0.1128  0.2256  0.7500  2 P 2.35
Rh  0.3005  0.6010  0.0789  3 P 2.37-2.51
Rh  0.3005  0.6010  0.4211  3 P 2.37-2.51
P  0.1421  0.2841  0.0172  5 Rh 2.35-2.51
P  0.1421  0.2841  0.4828  5 Rh 2.35-2.51
P  0.8579  0.7159  0.5172  5 Rh 2.35-2.51
P  0.8579  0.7159  0.9828  5 Rh 2.35-2.51

***

PmAu6: relaxed, GGA-PBE.

Calculated values
polymorph energy (0 for the lowest one)	0.0000	eV per atom
formation energy	-0.3725	eV per atom
crystal system	orthorhombic
M_tot	0.000	μB/cell

Lattice parameters (Å, degrees): 5.7296 9.0328 11.1428 90.00 90.00 90.00
With the nearest neighbours (Å) after each atom.
Positions (direct):
Au  0.0090  0.4444  0.1944  9 Au 2.76-2.97
Au  0.5090  0.5556  0.8056  9 Au 2.76-2.97
Au  0.2500  0.3121  0.7219  8 Au 2.77-2.97
Au  0.2500  0.5690  0.5788  5 Au 2.75-2.95
Au  0.4910  0.9444  0.3056  9 Au 2.76-2.97
Au  0.7500  0.1122  0.4779  7 Au 2.83-2.95
Au  0.9910  0.0556  0.6944  9 Au 2.76-2.97
Au  0.7500  0.6879  0.2781  8 Au 2.77-2.97
Au  0.0090  0.9444  0.3056  9 Au 2.76-2.97
Au  0.7500  0.3428  0.6577  8 Au 2.75-2.97
Au  0.7500  0.9310  0.0788  5 Au 2.75-2.95
Au  0.2500  0.0690  0.9212  5 Au 2.75-2.95
Au  0.7500  0.6122  0.0221  7 Au 2.83-2.95
Au  0.7500  0.8428  0.8423  8 Au 2.75-2.97
Au  0.2500  0.8121  0.7781  8 Au 2.77-2.97
Au  0.7500  0.4310  0.4212  5 Au 2.75-2.95
Au  0.2500  0.1572  0.1577  8 Au 2.75-2.97
Au  0.5090  0.0556  0.6944  9 Au 2.76-2.97
Au  0.2500  0.8878  0.5221  7 Au 2.83-2.95
Au  0.4910  0.4444  0.1944  9 Au 2.76-2.97
Au  0.2500  0.3878  0.9779  7 Au 2.83-2.95
Au  0.9910  0.5556  0.8056  9 Au 2.76-2.97
Au  0.7500  0.1879  0.2219  8 Au 2.77-2.97
Au  0.2500  0.6572  0.3423  8 Au 2.75-2.97
Pm  0.7500  0.7374  0.5674  12 Au 3.21-3.53
Pm  0.2500  0.7626  0.0674  12 Au 3.21-3.53
Pm  0.7500  0.2374  0.9326  12 Au 3.21-3.53
Pm  0.2500  0.2626  0.4326  12 Au 3.21-3.53